(P)
KNb3Tl (PBE, relaxed); density = 5.80 g cm⁻³; Fermi-level density of states = 10.65 states/eV/cell; space-group type = Pm-3m (221)
1.0
5.308 0.000 0.000
0.000 5.308 0.000
0.000 0.000 5.308
K Nb Tl
1 3 1
Cartesian
0.000 0.000 0.000
0.000 2.654 2.654
2.654 0.000 2.654
2.654 2.654 0.000
2.654 2.654 2.654

=====

(Q)
KNb3Tl (PBE, relaxed); density = 8.34 g cm⁻³; Fermi-level density of states = 5.75 states/eV/cell; space-group type = Pm-3m (221)
1.0
4.703 0.000 0.000
0.000 4.703 0.000
0.000 0.000 4.703
K Nb Tl
1 3 1
Cartesian
0.000 0.000 0.000
0.000 0.000 2.352
0.000 2.352 0.000
2.352 0.000 0.000
2.352 2.352 2.352

=====

Of all the structures shown, which is most stable? (P), and (Q) is the least stable.